1.
Entry from the Alexandria database: a geometry-optimized BaMo structure (PBE).

Computed properties:
relative energy among the computed polymorphs: 0.833 eV per formula unit
space-group type: P6_3/mmc, No. 194
formation enthalpy at 0 K: 94 kJ/mol of atoms
spin magnetization: 0.0 μB per cell

abc: 11.185 11.185 3.765
angles: 90.00 90.00 120.00
Element x y z (fractional)
Ba 0.176 0.351 0.250
Ba 0.176 0.824 0.250
Ba 0.351 0.176 0.750
Ba 0.649 0.824 0.250
Ba 0.824 0.176 0.750
Ba 0.824 0.649 0.750
Mo 0.081 0.540 0.750
Mo 0.460 0.540 0.750
Mo 0.460 0.919 0.750
Mo 0.540 0.081 0.250
Mo 0.540 0.460 0.250
Mo 0.919 0.460 0.250


2.
Entry from the Alexandria database: a geometry-optimized Ba4Mo structure (PBE).

Computed properties:
relative energy among the computed polymorphs: 2.061 eV per formula unit
space-group type: I4/mmm, No. 139
formation enthalpy at 0 K: 103 kJ/mol of atoms
spin magnetization: 1.9 μB per cell

abc: 6.807 6.807 6.807
angles: 116.52 116.52 96.14
Element x y z (fractional)
Ba 0.181 0.181 0.000
Ba 0.250 0.750 0.500
Ba 0.750 0.250 0.500
Ba 0.819 0.819 0.000
Mo 0.500 0.500 0.000


3.
Entry from the Alexandria database: a geometry-optimized BaMo8 structure (PBE).

Computed properties:
space-group type: I4/mmm, No. 139
formation enthalpy at 0 K: 71 kJ/mol of atoms
spin magnetization: 0.0 μB per cell

abc: 6.518 6.518 6.518
angles: 96.98 96.98 139.21
Element x y z (fractional)
Ba 0.000 0.000 0.000
Mo 0.000 0.356 0.356
Mo 0.000 0.644 0.644
Mo 0.301 0.301 0.602
Mo 0.301 0.699 0.000
Mo 0.356 0.000 0.356
Mo 0.644 0.000 0.644
Mo 0.699 0.301 0.000
Mo 0.699 0.699 0.398


4.
Entry from the Alexandria database: a geometry-optimized BaMo3 structure (PBE).

Computed properties:
relative energy among the computed polymorphs: 0.403 eV per formula unit
space-group type: C2/m, No. 12
formation enthalpy at 0 K: 83 kJ/mol of atoms
spin magnetization: 0.0 μB per cell

abc: 5.102 5.102 6.397
angles: 103.75 103.75 37.74
Element x y z (fractional)
Ba 0.000 0.000 0.000
Mo 0.211 0.211 0.621
Mo 0.500 0.500 0.500
Mo 0.789 0.789 0.379


5.
Entry from the Alexandria database: a geometry-optimized Ba2Mo structure (PBE).

Computed properties:
relative energy among the computed polymorphs: 0.379 eV per formula unit
space-group type: C2/m, No. 12
formation enthalpy at 0 K: 65 kJ/mol of atoms
spin magnetization: 0.0 μB per cell

abc: 9.313 9.313 7.406
angles: 108.03 108.03 24.05
Element x y z (fractional)
Ba 0.106 0.106 0.080
Ba 0.156 0.156 0.626
Ba 0.844 0.844 0.374
Ba 0.894 0.894 0.920
Mo 0.499 0.499 0.643
Mo 0.501 0.501 0.357


6.
Entry from the Alexandria database: a geometry-optimized BaMo2 structure (PBE).

Computed properties:
relative energy among the computed polymorphs: 1.833 eV per formula unit
space-group type: Pnnm, No. 58
formation enthalpy at 0 K: 117 kJ/mol of atoms
spin magnetization: 0.0 μB per cell

abc: 3.248 8.139 6.229
angles: 90.00 90.00 90.00
Element x y z (fractional)
Ba 0.000 0.000 0.000
Ba 0.500 0.500 0.500
Mo 0.243 0.396 0.000
Mo 0.257 0.896 0.500
Mo 0.743 0.104 0.500
Mo 0.757 0.604 0.000